No. 1
Entry from the Alexandria database: a relaxed Li2TmHg2 crystal (GGA-PBE).

Cell: 5.5274 5.5274 5.5120 Å, 52.05 52.05 51.99°
Fractional positions:
1 Hg 0.2221 0.2221 0.2205
2 Li 0.5844 0.5844 0.5815
3 Li 0.4156 0.4156 0.4185
4 Tm 0.0000 0.0000 0.0000
5 Hg 0.7779 0.7779 0.7795

Summary:
space-group type: C2/m
total DFT energy (no corrections): -2.11 eV per atom
D(E_F): 2.4 states/eV per cell
ΔE to the lowest computed polymorph: 0.16 eV/f.u.

No. 2
Entry from the Alexandria database: a relaxed LiSmInIr crystal (GGA-PBE).

Cell: 4.8200 4.8200 4.8200 Å, 60.00 60.00 60.00°
Fractional positions:
1 In 0.2500 0.2500 0.2500
2 Li 0.0000 0.0000 0.0000
3 Ir 0.5000 0.5000 0.5000
4 Sm 0.7500 0.7500 0.7500

Summary:
space-group type: F-43m
total DFT energy (no corrections): -5.02 eV per atom
D(E_F): 4.1 states/eV per cell

No. 3
Entry from the Alexandria database: a relaxed Sc2InH2 crystal (GGA-PBE).

Cell: 3.5633 3.5633 6.1049 Å, 73.03 73.03 90.00°
Fractional positions:
1 In 0.0000 0.0000 0.0000
2 Sc 0.6578 0.6578 0.6843
3 H 0.7500 0.2500 0.5000
4 Sc 0.3422 0.3422 0.3157
5 H 0.2500 0.7500 0.5000

Summary:
space-group type: I4/mmm
total DFT energy (no corrections): -5.04 eV per atom
D(E_F): 1.5 states/eV per cell

No. 4
Entry from the Alexandria database: a relaxed LiTcMoN3 crystal (GGA-PBE).

Cell: 2.8787 5.4849 7.9502 Å, 102.28 90.00 90.00°
Fractional positions:
1 N 0.7500 0.2533 0.4974
2 Mo 0.7500 0.2414 0.9572
3 N 0.2500 0.9806 0.8556
4 N 0.7500 0.5637 0.1566
5 Mo 0.2500 0.7586 0.0428
6 Li 0.2500 0.3984 0.3402
7 Tc 0.7500 0.8934 0.3672
8 N 0.2500 0.7467 0.5026
9 N 0.7500 0.0194 0.1444
10 Tc 0.2500 0.1066 0.6328
11 Li 0.7500 0.6016 0.6598
12 N 0.2500 0.4363 0.8434

Summary:
space-group type: P2_1/m
total DFT energy (no corrections): -8.41 eV per atom
energy relative to the elements, uncorrected: -395 meV per atom
D(E_F): 2.7 states/eV per cell

No. 5
Entry from the Alexandria database: a relaxed SnAuS2N crystal (GGA-PBE).

Cell: 5.1225 5.1225 3.8242 Å, 90.00 90.00 90.00°
Fractional positions:
1 Au 0.0000 0.0000 0.0000
2 Sn 0.5000 0.5000 0.5000
3 S 0.0000 0.5000 0.0000
4 N 0.0000 0.0000 0.5000
5 S 0.5000 0.0000 0.0000

Summary:
space-group type: P4/mmm
total DFT energy (no corrections): -3.94 eV per atom
energy relative to the elements, uncorrected: 829 meV per atom
D(E_F): 3.4 states/eV per cell
ΔE to the lowest computed polymorph: 0.00 eV/f.u.

No. 6
Entry from the Alexandria database: a relaxed Cs3TaW crystal (GGA-PBE).

Cell: 6.2075 6.2075 6.2075 Å, 90.00 90.00 90.00°
Each line ends with the local moment (μB).
Fractional positions:
1 Cs 0.5000 0.0000 0.0000  0.00
2 Cs 0.0000 0.5000 0.0000  0.00
3 Cs 0.0000 0.0000 0.5000  0.00
4 Ta 0.5000 0.5000 0.5000  0.61
5 W 0.0000 0.0000 0.0000  -0.21

Summary:
space-group type: Pm-3m
total DFT energy (no corrections): -2.55 eV per atom
D(E_F): 17.8 states/eV per cell
ΔE to the lowest computed polymorph: 0.00 eV/f.u.

No. 7
Entry from the Alexandria database: a relaxed SiSnAs2Br crystal (GGA-PBE).

Cell: 5.2974 5.2974 5.3580 Å, 90.00 90.00 90.00°
Fractional positions:
1 Sn 0.0000 0.0000 0.0000
2 Br 0.0000 0.0000 0.5000
3 As 0.5000 0.0000 0.0000
4 Si 0.5000 0.5000 0.5000
5 As 0.0000 0.5000 0.0000

Summary:
space-group type: P4/mmm
total DFT energy (no corrections): -3.13 eV per atom
energy relative to the elements, uncorrected: 948 meV per atom
D(E_F): 6.4 states/eV per cell
ΔE to the lowest computed polymorph: 2.86 eV/f.u.

No. 8
Entry from the Alexandria database: a relaxed SrMg3Au crystal (GGA-PBE).

Cell: 5.9907 6.2587 7.5640 Å, 90.00 113.35 90.00°
Fractional positions:
1 Mg 0.2929 0.6907 0.0815
2 Mg 0.8396 0.4476 0.1614
3 Mg 0.7414 0.1907 0.4790
4 Mg 0.1947 0.9476 0.3992
5 Au 0.1421 0.9476 0.7439
6 Au 0.8922 0.4476 0.8167
7 Mg 0.7414 0.7046 0.4790
8 Sr 0.7239 0.9476 0.9165
9 Sr 0.3105 0.4476 0.6441
10 Mg 0.2929 0.2046 0.0816

Summary:
space-group type: P2_1/m
total DFT energy (no corrections): -2.29 eV per atom
D(E_F): 6.6 states/eV per cell
ΔE to the lowest computed polymorph: 0.00 eV/f.u.

No. 9
Entry from the Alexandria database: a relaxed TaCdO2 crystal (GGA-PBE).

Cell: 6.0154 6.0154 6.3648 Å, 61.80 61.80 90.00°
Fractional positions:
1 Ta 0.0000 0.0000 0.0000
2 O 0.8749 0.1250 0.2500
3 Cd 0.2500 0.7500 0.5000
4 Cd 0.5000 0.5000 0.0000
5 O 0.8751 0.6250 0.2500
6 O 0.8750 0.1249 0.7500
7 Ta 0.7500 0.2500 0.5000
8 O 0.3750 0.1251 0.7500

Summary:
space-group type: I4_1/amd
total DFT energy (no corrections): -7.23 eV per atom
energy relative to the elements, uncorrected: -1561 meV per atom
D(E_F): 6.1 states/eV per cell

No. 10
Entry from the Alexandria database: a relaxed ZnReN2O crystal (GGA-PBE).

Cell: 3.8286 3.8286 3.7254 Å, 90.00 90.00 90.00°
Each line ends with the local moment (μB).
Fractional positions:
1 O 0.0000 0.0000 0.5000  -0.13
2 N 0.5000 0.0000 0.0000  -0.30
3 N 0.0000 0.5000 0.0000  -0.30
4 Zn 0.0000 0.0000 0.0000  -0.03
5 Re 0.5000 0.5000 0.5000  2.68

Summary:
space-group type: P4/mmm
total DFT energy (no corrections): -5.41 eV per atom
energy relative to the elements, uncorrected: 1660 meV per atom
D(E_F): 3.0 states/eV per cell

No. 11
Entry from the Alexandria database: a relaxed CrSbP crystal (GGA-PBE).

Cell: 7.9398 3.1003 9.9642 Å, 90.00 107.80 90.00°
Fractional positions:
1 Sb 0.2102 0.5000 0.6928
2 Sb 0.7898 0.5000 0.3072
3 Cr 0.5154 0.0000 0.1331
4 Cr 0.4846 0.5000 0.3669
5 P 0.6713 0.5000 0.0177
6 P 0.3287 0.0000 0.4823
7 Sb 0.2102 0.0000 0.1928
8 Cr 0.5154 0.5000 0.6331
9 Cr 0.4846 0.0000 0.8669
10 P 0.3287 0.5000 0.9823
11 P 0.6713 0.0000 0.5177
12 Sb 0.7898 0.0000 0.8072

Summary:
space-group type: C2/m
total DFT energy (no corrections): -6.41 eV per atom
energy relative to the elements, uncorrected: -21 meV per atom
D(E_F): 5.6 states/eV per cell
ΔE to the lowest computed polymorph: 0.43 eV/f.u.

No. 12
Entry from the Alexandria database: a relaxed LiPAu2I crystal (GGA-PBE).

Cell: 4.6525 5.1162 4.6525 Å, 90.00 90.00 90.00°
Fractional positions:
1 I 0.0000 0.5000 0.0000
2 Au 0.0000 0.0000 0.5000
3 Au 0.5000 0.0000 0.0000
4 P 0.5000 0.5000 0.5000
5 Li 0.0000 0.0000 0.0000

Summary:
space-group type: P4/mmm
total DFT energy (no corrections): -2.34 eV per atom
energy relative to the elements, uncorrected: 743 meV per atom
D(E_F): 4.4 states/eV per cell